Compound: TaNb3Mo6W2
Source: Alexandria via LeMat-Bulk
Functional: PBE
Structure: optimized geometry

Space-group type ... C2/m
ΔH_f (0 K) ... -93 meV per atom
Raw total energy ... -11.1727 eV/atom
Magnetic moment ... 0.00 μB per cell

Cell and atoms, written as CIF:
```
data_TaNb3Mo6W2
_chemical_formula_sum 'Ta1 Nb3 Mo6 W2'
_cell_length_a 6.989
_cell_length_b 6.989
_cell_length_c 4.565
_cell_angle_alpha 108.97
_cell_angle_beta 108.97
_cell_angle_gamma 87.27
_symmetry_space_group_name_H-M 'P 1'
_symmetry_Int_Tables_number 1
loop_
_symmetry_equiv_pos_as_xyz
'x,y,z'
loop_
_atom_site_label
_atom_site_type_symbol
_atom_site_fract_x
_atom_site_fract_y
_atom_site_fract_z
Ta1 Ta 0.000 0.000 0.000
Nb1 Nb 0.169 0.831 0.500
Nb2 Nb 0.500 0.500 0.500
Nb3 Nb 0.831 0.169 0.500
Mo1 Mo 0.082 0.417 0.249
Mo2 Mo 0.253 0.253 0.753
Mo3 Mo 0.417 0.082 0.249
Mo4 Mo 0.583 0.918 0.751
Mo5 Mo 0.747 0.747 0.247
Mo6 Mo 0.918 0.583 0.751
W1 W 0.333 0.667 0.000
W2 W 0.667 0.333 0.000
```